Entry 1:
A relaxed structure of SnRu5. Source: the Alexandria database, functional GGA-PBE.

**Formation enthalpy at 0 K**: 0.097 eV per atom
**E**: -99.6 eV per cell

Unit cell a=3.879 b=11.961 c=3.896 alpha=90.00 beta=90.00 gamma=90.00
Space group Cmmm (No. 65)
Inequivalent atoms, fractional coordinates:
Sn (0.000, 0.000, 0.000) x2
Ru (0.000, 0.177, 0.500) x4
Ru (0.000, 0.321, 0.000) x4
Ru (0.000, 0.500, 0.500) x2

---

Entry 2:
A relaxed structure of SnRu. Source: the Alexandria database, functional GGA-PBE.

**Formation enthalpy at 0 K**: 0.346 eV per atom
**E**: -50.3 eV per cell

Unit cell a=5.349 b=5.349 c=5.359 alpha=90.00 beta=90.00 gamma=90.00
Space group P4_2/mnm (No. 136)
Inequivalent atoms, fractional coordinates:
Sn (0.221, 0.221, 0.000) x4
Ru (0.219, 0.219, 0.500) x4

---

Entry 3:
A relaxed structure of SnRu. Source: the Alexandria database, functional GGA-PBE.

**Formation enthalpy at 0 K**: 0.589 eV per atom
**E**: -96.8 eV per cell

Unit cell a=7.994 b=7.994 c=7.994 alpha=90.00 beta=90.00 gamma=90.00
Space group I-43m (No. 217)
Inequivalent atoms, fractional coordinates:
Sn (0.199, 0.199, 0.801) x8
Ru (0.115, 0.115, 0.115) x8

---

Entry 4:
A relaxed structure of Sn4Ru. Source: the Alexandria database, functional GGA-PBE.

**Formation enthalpy at 0 K**: 0.175 eV per atom
**E**: -24.4 eV per cell

Unit cell a=5.155 b=5.155 c=5.155 alpha=90.00 beta=90.00 gamma=90.00
Space group Pm-3m (No. 221)
Inequivalent atoms, fractional coordinates:
Sn (0.000, 0.000, 0.000) x1
Sn (0.000, 0.500, 0.500) x3
Ru (0.500, 0.500, 0.500) x1

---

Entry 5:
A relaxed structure of Sn4Ru. Source: the Alexandria database, functional GGA-PBE.

**Formation enthalpy at 0 K**: -0.019 eV per atom
**E**: -304.6 eV per cell

Unit cell a=14.047 b=11.790 c=9.705 alpha=90.00 beta=115.87 gamma=90.00
Space group C2/c (No. 15)
Inequivalent atoms, fractional coordinates:
Sn (0.000, 0.169, 0.250) x4
Sn (0.030, 0.119, 0.935) x8
Sn (0.030, 0.366, 0.047) x8
Sn (0.133, 0.496, 0.858) x8
Sn (0.196, 0.245, 0.778) x8
Sn (0.210, 0.017, 0.295) x8
Sn (0.250, 0.250, 0.500) x4
Ru (0.000, 0.307, 0.750) x4
Ru (0.150, 0.067, 0.514) x8

---

Entry 6:
A relaxed structure of SnRu. Source: the Alexandria database, functional GGA-PBE.

**Formation enthalpy at 0 K**: 0.446 eV per atom
**E**: -99.1 eV per cell

Unit cell a=10.328 b=10.328 c=4.184 alpha=90.00 beta=90.00 gamma=90.00
Space group I4/m (No. 87)
Inequivalent atoms, fractional coordinates:
Sn (0.033, 0.292, 0.000) x8
Ru (0.209, 0.287, 0.500) x8

---

Entry 7:
A relaxed structure of SnRu. Source: the Alexandria database, functional GGA-PBE.

**Formation enthalpy at 0 K**: 0.185 eV per atom
**E**: -77.5 eV per cell

Unit cell a=4.283 b=9.403 c=6.244 alpha=90.00 beta=90.00 gamma=90.00
Space group Pmmn (No. 59, origin choice 2)
Inequivalent atoms, fractional coordinates:
Sn (0.250, 0.074, 0.162) x4
Sn (0.250, 0.750, 0.440) x2
Ru (0.250, 0.032, 0.608) x4
Ru (0.250, 0.250, 0.827) x2

---

Entry 8:
A relaxed structure of Sn3Ru. Source: the Alexandria database, functional GGA-PBE.

**Formation enthalpy at 0 K**: 0.023 eV per atom
**Energy above the most stable polymorph in this dataset**: 0.36 eV/f.u.
**E**: -42.4 eV per cell

Unit cell a=3.330 b=8.640 c=6.178 alpha=90.00 beta=90.00 gamma=90.00
Space group Imm2 (No. 44)
Inequivalent atoms, fractional coordinates:
Sn (0.000, 0.000, 0.000) x2
Sn (0.000, 0.189, 0.599) x4
Ru (0.000, 0.500, 0.840) x2

---

Entry 9:
A relaxed structure of Sn3Ru. Source: the Alexandria database, functional GGA-PBE.

**Formation enthalpy at 0 K**: 0.005 eV per atom
**Energy above the most stable polymorph in this dataset**: 0.28 eV/f.u.
**E**: -42.5 eV per cell

Unit cell a=3.148 b=4.473 c=13.173 alpha=90.00 beta=90.00 gamma=90.00
Space group Immm (No. 71)
Inequivalent atoms, fractional coordinates:
Sn (0.000, 0.000, 0.000) x2
Sn (0.000, 0.500, 0.182) x4
Ru (0.000, 0.000, 0.500) x2

---

Entry 10:
A relaxed structure of Sn4Ru. Source: the Alexandria database, functional GGA-PBE.

**Formation enthalpy at 0 K**: -0.002 eV per atom
**E**: -50.6 eV per cell

Unit cell a=5.999 b=5.999 c=6.564 alpha=90.00 beta=90.00 gamma=90.00
Space group P-42_1c (No. 114)
Inequivalent atoms, fractional coordinates:
Sn (0.198, 0.205, 0.342) x8
Ru (0.000, 0.000, 0.000) x2

---

Entry 11:
A relaxed structure of SnRu. Source: the Alexandria database, functional GGA-PBE.

**Formation enthalpy at 0 K**: 0.240 eV per atom
**E**: -76.8 eV per cell

Unit cell a=3.001 b=11.731 c=7.462 alpha=90.00 beta=90.00 gamma=90.00
Space group Amm2 (No. 38)
Inequivalent atoms, fractional coordinates:
Sn (0.000, 0.000, 0.000) x2
Sn (0.500, 0.176, 0.548) x4
Ru (0.000, 0.182, 0.240) x4
Ru (0.500, 0.000, 0.324) x2

---

Entry 12:
A relaxed structure of Sn3Ru. Source: the Alexandria database, functional GGA-PBE.

**Formation enthalpy at 0 K**: 0.140 eV per atom
**Energy above the most stable polymorph in this dataset**: 0.83 eV/f.u.
**E**: -41.4 eV per cell

Unit cell a=8.7127 b=8.7127 c=3.1861 alpha=90.00 beta=90.00 gamma=120.00
Space group P6_3/mmc (No. 194)
Inequivalent atoms, fractional coordinates:
Sn (0.1890, 0.3780, 0.2500) x6
Ru (0.3333, 0.6667, 0.7500) x2